[1]
Density functional theory data (GGA-PBEsol) for a geometry-optimized Sr2Al3Ge structure.

abc: 4.376 4.376 9.437
angles: 90.00 90.00 120.00
Sites, in units of the cell vectors:
Sr  0.000  0.000  0.248
Sr  0.000  0.000  0.752
Al  0.333  0.667  0.000
Al  0.333  0.667  0.500
Al  0.667  0.333  0.000
Ge  0.667  0.333  0.500

Computed properties:
* calculated volume: 156.5 Å³ per cell
* size of the total moment: 0.0 μB/f.u.
* raw total energy: -0.13996 hartree per atom
* crystal system: hexagonal

***

[2]
Density functional theory data (GGA-PBEsol) for a geometry-optimized SrAl2Ge2 structure.

abc: 4.212 4.212 7.366
angles: 90.00 90.00 120.00
Sites, in units of the cell vectors:
Sr  0.000  0.000  0.000
Al  0.333  0.667  0.625
Al  0.667  0.333  0.375
Ge  0.333  0.667  0.270
Ge  0.667  0.333  0.730

Computed properties:
* calculated volume: 113.2 Å³ per cell
* size of the total moment: 0.0 μB/f.u.
* raw total energy: -0.16139 hartree per atom
* crystal system: trigonal

***

[3]
Density functional theory data (GGA-PBEsol) for a geometry-optimized Sr2TaAlGe structure.

abc: 5.714 5.714 4.912
angles: 90.00 90.00 90.00
Sites, in units of the cell vectors:
Sr  0.000  0.500  0.000
Sr  0.500  0.000  0.000
Ta  0.000  0.000  0.500
Al  0.000  0.000  0.000
Ge  0.500  0.500  0.500

Computed properties:
* calculated volume: 160.4 Å³ per cell
* size of the total moment: 0.4 μB/f.u.
* raw total energy: -0.15166 hartree per atom
* crystal system: tetragonal